VASP calculation (PBE-GGA) on a geometry-optimized Na2HgBi structure.

Lattice parameters (Å, degrees): 8.7207 8.7207 6.9363 51.05 51.05 90.00
Element x y z (fractional)
Na (0.6164, 0.1250, 0.2500)
Na (0.8750, 0.8664, 0.7500)
Na (0.1336, 0.6250, 0.2500)
Na (0.3750, 0.3836, 0.7500)
Bi (0.0000, 0.0000, 0.0000)
Bi (0.7500, 0.2500, 0.5000)
Hg (0.2500, 0.7500, 0.5000)
Hg (0.5000, 0.5000, 0.0000)

Output
E (eV/atom): -1.8552
ΔE_f (meV per atom): -150
Size of the total moment (μB/f.u.): 0.000


VASP calculation (PBE-GGA) on a geometry-optimized Ti5CuNi3 structure.

Lattice parameters (Å, degrees): 5.3216 8.1883 7.2297 124.49 90.00 90.00
Element x y z (fractional)
Ti (0.2500, 0.7164, 0.0000)
Ti (0.0000, 0.3515, 0.7031)
Ti (0.0000, 0.6485, 0.2969)
Ti (0.7500, 0.9923, 0.3404)
Ti (0.5000, 0.6485, 0.2969)
Ti (0.2500, 0.3481, 0.3404)
Ti (0.7500, 0.2836, 0.0000)
Ti (0.7500, 0.6519, 0.6596)
Ti (0.5000, 0.3515, 0.7031)
Ti (0.2500, 0.0077, 0.6596)
Ni (0.2500, 0.0436, 0.3459)
Ni (0.7500, 0.6522, 0.0000)
Ni (0.2500, 0.3478, 0.0000)
Ni (0.7500, 0.9564, 0.6541)
Ni (0.7500, 0.3024, 0.3459)
Ni (0.2500, 0.6976, 0.6541)
Cu (0.0000, 0.0000, 0.0000)
Cu (0.5000, 0.0000, 0.0000)

Output
E (eV/atom): -6.9555
ΔE_f (meV per atom): -187
Size of the total moment (μB/f.u.): 0.000


VASP calculation (PBE-GGA) on a geometry-optimized ScAgSn2S4 structure.

Lattice parameters (Å, degrees): 3.9310 6.9579 6.8472 70.70 90.00 90.00
Element x y z (fractional)
Sn (0.0000, 0.0000, 0.0000)
Sn (0.5000, 0.0000, 0.5000)
Sc (0.0000, 0.5000, 0.5000)
S (0.5000, 0.2738, 0.7259)
S (0.5000, 0.7262, 0.2741)
S (0.0000, 0.2736, 0.2581)
S (0.0000, 0.7264, 0.7419)
Ag (0.5000, 0.5000, 0.0000)

Output
E (eV/atom): -4.9339
Energy relative to the elements, uncorrected (kJ per mole of atoms): -69.6
Size of the total moment (μB/f.u.): 0.000